NdSm4Y2Mg: optimized geometry, PBE-GGA.

Computed properties:
As for the total energy: -0.345 Ry per atom. The spin magnetization comes out at 0.0000 μB/atom. As for the space group: P4/mmm. As for the formation energy: 0.071 eV per atom.

extended XYZ file:
```
8
Lattice="5.8402 0.0000 0.0000 0.0000 9.5730 -0.5109 0.0000 3.7921 4.4331" Properties=species:S:1:pos:R:3 pbc="T T T"
Sm 2.9201 8.0805 0.7646
Sm 5.8402 3.3888 0.9376
Sm 0.0001 9.9762 2.9846
Sm 2.9201 5.2846 3.1576
Y 0.0000 3.7921 4.4331
Y 2.9201 1.8960 2.2165
Nd 0.0000 6.6825 1.9611
Mg 2.9201 4.7865 -0.2554
```

Nd6Sm3Y2Mg: optimized geometry, PBE-GGA.

Computed properties:
As for the total energy: -0.349 Ry per atom. The spin magnetization comes out at 0.0000 μB/atom. As for the space group: C2/m. As for the formation energy: 0.022 eV per atom.

extended XYZ file:
```
12
Lattice="-2.9175 4.6708 -3.0384 0.4349 -5.6905 -2.6437 -9.3138 -2.7509 6.8946" Properties=species:S:1:pos:R:3 pbc="T T T"
Y -1.7997 1.2160 -2.9068
Y -0.6829 -2.2357 -2.7753
Nd -9.4443 -1.1238 0.8492
Nd -7.6252 -2.3238 3.7623
Nd -3.4634 0.7879 0.2326
Nd -8.3330 -4.5584 0.9800
Nd -2.3521 -2.6468 0.3634
Nd -4.1711 -1.4467 -2.5497
Sm -4.7813 -5.3372 0.7378
Sm -7.0150 1.5666 0.4748
Sm -5.8982 -1.8853 0.6063
Mg 0.0000 0.0000 0.0000
```